The following is a DFT calculation (GGA-PBE) of an optimized crystal structure of Li5OsO4.

The calculation puts the calculated total energy at -5.50 eV per atom.

abc: 5.0152 3.1249 5.4283
angles: 90.00 90.64 90.00
Last column: magnetic moment on the atom in μB.
Atoms (fractional coordinates):
Li  0.6318  0.0000  0.3231  0.00
Li  0.0000  0.0000  0.0000  0.00
Li  0.3445  0.5000  0.1533  0.00
Li  0.3682  0.0000  0.6769  0.00
Li  0.6555  0.5000  0.8467  0.00
O  0.7680  0.0000  0.6608  0.04
O  0.2320  0.0000  0.3392  0.04
O  0.7532  0.5000  0.1758  0.03
O  0.2468  0.5000  0.8242  0.03
Os  0.0000  0.5000  0.5000  0.80